# 1
The following is a DFT calculation (PBE) of crystalline Pr2Ge2S5 at its relaxed geometry.

Structure (POSCAR):
```
Pr2Ge2S5
1.0
7.7970 -2.0631 0.0000
7.7970 2.0631 0.0000
-3.9539 0.0000 8.2278
Pr Ge S
2 2 5
direct
0.1324 0.1324 0.0035
0.8676 0.8676 0.9965
0.3424 0.3424 0.4874
0.6576 0.6576 0.5126
0.1729 0.1729 0.3503
0.3314 0.3314 0.1755
0.5000 0.5000 0.0000
0.6686 0.6686 0.8245
0.8271 0.8271 0.6497
```

- SG = C2/m
- total DFT energy (no corrections) (eV for the cell shown) = -49.600
- raw formation energy (eV/atom) = -1.13

=====

# 2
The following is a DFT calculation (PBE) of crystalline PrGe2S4 at its relaxed geometry.

Structure (POSCAR):
```
PrGe2S4
1.0
-3.7656 3.7656 3.2447
3.7656 -3.7656 3.2447
3.7656 3.7656 -3.2447
Pr Ge S
1 2 4
direct
0.0000 0.0000 0.0000
0.2500 0.7500 0.5000
0.7500 0.2500 0.5000
0.1845 0.6733 0.8578
0.3267 0.1845 0.5112
0.6733 0.8155 0.4888
0.8155 0.3267 0.1422
```

- SG = I4/m
- total DFT energy (no corrections) (eV for the cell shown) = -34.205
- raw formation energy (eV/atom) = -0.53

=====

# 3
The following is a DFT calculation (PBE) of crystalline Pr2GeS4 at its relaxed geometry.

Structure (POSCAR):
```
Pr2GeS4
1.0
-3.3362 3.3362 3.7264
3.3362 -3.3362 3.7264
3.3362 3.3362 -3.7264
Pr Ge S
2 1 4
direct
0.2500 0.7500 0.5000
0.7500 0.2500 0.5000
0.0000 0.0000 0.0000
0.2583 0.2583 0.5167
0.2583 0.7417 0.0000
0.7417 0.2583 0.0000
0.7417 0.7417 0.4833
```

- SG = I4/mmm
- total DFT energy (no corrections) (eV for the cell shown) = -39.576
- raw formation energy (eV/atom) = -1.27

=====

# 4
The following is a DFT calculation (PBE) of crystalline Pr12Ge5S28 at its relaxed geometry.

Structure (POSCAR):
```
Pr12Ge5S28
1.0
10.2557 0.0000 0.0000
0.0017 11.7679 0.0000
5.1275 5.8727 8.8781
Pr Ge S
12 5 28
direct
0.0000 0.0000 0.0000
0.9997 0.4694 0.0198
0.0979 0.2865 0.4310
0.1103 0.7724 0.4125
0.2174 0.4049 0.6588
0.2405 0.9255 0.6441
0.5103 0.5253 0.9111
0.5258 0.0494 0.9017
0.6448 0.6761 0.1463
0.6491 0.1690 0.1253
0.7391 0.9715 0.5505
0.7512 0.4572 0.5563
0.2074 0.7267 0.1050
0.2089 0.2190 0.1184
0.5405 0.8068 0.4490
0.5409 0.3113 0.4444
0.8757 0.7077 0.7798
0.0178 0.9326 0.5504
0.0468 0.4805 0.5105
0.1120 0.6373 0.6968
0.1356 0.1400 0.6834
0.2075 0.0349 0.1136
0.2076 0.5369 0.1104
0.2844 0.4098 0.8891
0.2920 0.9197 0.8786
0.3486 0.2531 0.2079
0.3637 0.7678 0.1758
0.3922 0.9229 0.3676
0.3974 0.4316 0.3599
0.4566 0.7702 0.6785
0.4580 0.2736 0.6725
0.5344 0.6142 0.4607
0.5471 0.1294 0.4327
0.6075 0.2965 0.8745
0.6461 0.7766 0.8665
0.7064 0.9612 0.0411
0.7199 0.4773 0.0187
0.7685 0.9555 0.3045
0.7703 0.4610 0.2984
0.7799 0.1757 0.6122
0.7896 0.6732 0.6248
0.9618 0.7481 0.9240
0.9655 0.2563 0.9532
0.9771 0.7327 0.2472
0.9830 0.2196 0.2730
```

- SG = P1
- total DFT energy (no corrections) (eV for the cell shown) = -263.357
- raw formation energy (eV/atom) = -1.50

=====

# 5
The following is a DFT calculation (PBE) of crystalline Pr4GeS2 at its relaxed geometry.

Structure (POSCAR):
```
Pr4GeS2
1.0
7.4498 0.0000 0.0000
0.0000 12.1816 0.0000
0.0000 0.0000 4.2899
Pr Ge S
8 2 4
direct
0.1211 0.2195 0.0000
0.2403 0.4543 0.5000
0.2597 0.9543 0.5000
0.3789 0.7195 0.0000
0.6211 0.2805 0.0000
0.7403 0.0457 0.5000
0.7597 0.5457 0.5000
0.8789 0.7805 0.0000
0.0000 0.0000 0.0000
0.5000 0.5000 0.0000
0.1085 0.6915 0.5000
0.3915 0.1915 0.5000
0.6085 0.8085 0.5000
0.8915 0.3085 0.5000
```

- SG = Pbam
- total DFT energy (no corrections) (eV for the cell shown) = -82.057
- raw formation energy (eV/atom) = -1.29

=====

# 6
The following is a DFT calculation (PBE) of crystalline Pr5GeS4 at its relaxed geometry.

Structure (POSCAR):
```
Pr5GeS4
1.0
-4.6568 4.6568 2.9351
4.6568 -4.6568 2.9351
4.6568 4.6568 -2.9351
Pr Ge S
5 1 4
direct
0.0000 0.0000 0.0000
0.1989 0.4003 0.5992
0.4003 0.8011 0.2014
0.5997 0.1989 0.7986
0.8011 0.5997 0.4008
0.5000 0.5000 0.0000
0.1020 0.6996 0.8016
0.3004 0.1020 0.4023
0.6996 0.8980 0.5977
0.8980 0.3004 0.1984
```

- SG = I4/m
- total DFT energy (no corrections) (eV for the cell shown) = -63.234
- raw formation energy (eV/atom) = -1.82

=====

# 7
The following is a DFT calculation (PBE) of crystalline Pr4Ge3S12 at its relaxed geometry.

Structure (POSCAR):
```
Pr4Ge3S12
1.0
9.7937 5.6544 2.6896
-9.7937 5.6544 2.6896
0.0000 -11.3088 2.6896
Pr Ge S
8 6 24
direct
0.0000 0.0000 0.0000
0.2184 0.4414 0.9789
0.4414 0.9789 0.2184
0.4789 0.9414 0.7184
0.5000 0.5000 0.5000
0.7184 0.4789 0.9414
0.9414 0.7184 0.4789
0.9789 0.2184 0.4414
0.1477 0.9735 0.3591
0.3591 0.1477 0.9735
0.4735 0.6477 0.8591
0.6477 0.8591 0.4735
0.8591 0.4735 0.6477
0.9735 0.3591 0.1477
0.0902 0.6336 0.3557
0.0911 0.8020 0.1176
0.1176 0.0911 0.8020
0.1336 0.5902 0.8557
0.1870 0.1896 0.3739
0.1896 0.3739 0.1870
0.2842 0.8902 0.8163
0.3020 0.5911 0.6176
0.3163 0.3902 0.7842
0.3557 0.0902 0.6336
0.3739 0.1870 0.1896
0.3902 0.7842 0.3163
0.5902 0.8557 0.1336
0.5911 0.6176 0.3020
0.6176 0.3020 0.5911
0.6336 0.3557 0.0902
0.6870 0.8739 0.6896
0.6896 0.6870 0.8739
0.7842 0.3163 0.3902
0.8020 0.1176 0.0911
0.8163 0.2842 0.8902
0.8557 0.1336 0.5902
0.8739 0.6896 0.6870
0.8902 0.8163 0.2842
```

- SG = R3c
- total DFT energy (no corrections) (eV for the cell shown) = -212.489
- raw formation energy (eV/atom) = -1.25

=====

# 8
The following is a DFT calculation (PBE) of crystalline PrGe2S6 at its relaxed geometry.

Structure (POSCAR):
```
PrGe2S6
1.0
6.2237 -5.5981 0.0000
6.2237 5.5981 0.0000
-1.9825 0.0000 6.2400
Pr Ge S
2 4 12
direct
0.1594 0.8406 0.7500
0.8406 0.1594 0.2500
0.2296 0.3640 0.7789
0.3640 0.2296 0.2789
0.6360 0.7704 0.7211
0.7704 0.6360 0.2211
0.0527 0.1696 0.6646
0.1351 0.5845 0.9847
0.1696 0.0527 0.1646
0.2729 0.4613 0.5018
0.4155 0.8649 0.5153
0.4613 0.2729 0.0018
0.5387 0.7271 0.9982
0.5845 0.1351 0.4847
0.7271 0.5387 0.4982
0.8304 0.9473 0.8354
0.8649 0.4155 0.0153
0.9473 0.8304 0.3354
```

- SG = C2/c
- total DFT energy (no corrections) (eV for the cell shown) = -88.620
- raw formation energy (eV/atom) = -0.61

=====

# 9
The following is a DFT calculation (PBE) of crystalline Pr3GeS6 at its relaxed geometry.

Structure (POSCAR):
```
Pr3GeS6
1.0
5.5362 -6.9010 0.0000
5.5362 6.9010 0.0000
0.0000 0.0000 6.8243
Pr Ge S
6 2 12
direct
0.1011 0.8989 0.5000
0.2147 0.4143 0.5775
0.4143 0.2147 0.0775
0.5857 0.7853 0.5775
0.7853 0.5857 0.0775
0.8989 0.1011 0.0000
0.3028 0.6972 0.1208
0.6972 0.3028 0.6208
0.0725 0.5988 0.2918
0.1361 0.1857 0.2891
0.1857 0.1361 0.7891
0.2825 0.7175 0.7595
0.4012 0.9275 0.2918
0.4627 0.5373 0.2662
0.5373 0.4627 0.7662
0.5988 0.0725 0.7919
0.7175 0.2825 0.2595
0.8143 0.8639 0.2891
0.8639 0.8143 0.7891
0.9275 0.4012 0.7919
```

- SG = Cmc2_1
- total DFT energy (no corrections) (eV for the cell shown) = -118.935
- raw formation energy (eV/atom) = -1.57

=====

# 10
The following is a DFT calculation (PBE) of crystalline PrGeS2 at its relaxed geometry.

Structure (POSCAR):
```
PrGeS2
1.0
1.8717 1.0806 8.3542
-1.8717 1.0806 8.3542
0.0000 -2.1613 8.3542
Pr Ge S
1 1 2
direct
0.0000 0.0000 0.0000
0.5000 0.5000 0.5000
0.1094 0.1094 0.1094
0.8906 0.8906 0.8906
```

- SG = R-3m
- total DFT energy (no corrections) (eV for the cell shown) = -19.433
- raw formation energy (eV/atom) = -0.45

=====

# 11
The following is a DFT calculation (PBE) of crystalline Pr6Ge3SbS2 at its relaxed geometry.

Structure (POSCAR):
```
Pr6Ge3SbS2
1.0
9.4077 -2.1351 0.0000
9.4077 2.1351 0.0000
-2.0725 0.0000 8.4526
Pr Ge Sb S
6 3 1 2
direct
0.0035 0.0035 0.2626
0.3279 0.3279 0.9105
0.3322 0.3322 0.4188
0.6678 0.6678 0.5812
0.6721 0.6721 0.0895
0.9965 0.9965 0.7374
0.1652 0.1652 0.8306
0.5000 0.5000 0.5000
0.8348 0.8348 0.1694
0.5000 0.5000 0.0000
0.1690 0.1690 0.3368
0.8310 0.8310 0.6632
```

- SG = C2/m
- total DFT energy (no corrections) (eV for the cell shown) = -69.890
- raw formation energy (eV/atom) = -1.25

=====

# 12
The following is a DFT calculation (PBE) of crystalline Pr4GeSbS2 at its relaxed geometry.

Structure (POSCAR):
```
Pr4GeSbS2
1.0
7.3876 0.0000 0.0000
0.0000 4.3032 0.0000
-2.5073 0.0000 7.0534
Pr Ge Sb S
4 1 1 2
direct
0.2386 0.0000 0.2359
0.2445 0.5000 0.7566
0.7555 0.5000 0.2434
0.7614 0.0000 0.7641
0.5000 0.0000 0.0000
0.5000 0.5000 0.5000
0.0000 0.0000 0.5000
0.0000 0.5000 0.0000
```

- SG = P2/m
- total DFT energy (no corrections) (eV for the cell shown) = -48.181
- raw formation energy (eV/atom) = -1.51

=====

# 13
The following is a DFT calculation (PBE) of crystalline Pr8Ge3SeS4 at its relaxed geometry.

Structure (POSCAR):
```
Pr8Ge3SeS4
1.0
4.2385 2.4471 6.8738
-4.2385 2.4471 6.8738
0.0000 -4.8942 6.8738
Pr Ge Se S
8 3 1 4
direct
0.2493 0.2493 0.2493
0.2532 0.2532 0.7455
0.2532 0.7455 0.2532
0.2545 0.7468 0.7468
0.7455 0.2532 0.2532
0.7468 0.2545 0.7468
0.7468 0.7468 0.2545
0.7507 0.7507 0.7507
0.0000 0.5000 0.5000
0.5000 0.0000 0.5000
0.5000 0.5000 0.0000
0.0000 0.0000 0.0000
0.0000 0.0000 0.5000
0.0000 0.5000 0.0000
0.5000 0.0000 0.0000
0.5000 0.5000 0.5000
```

- SG = R-3m
- total DFT energy (no corrections) (eV for the cell shown) = -97.626
- raw formation energy (eV/atom) = -1.60

=====

# 14
The following is a DFT calculation (PBE) of crystalline Pr4GeSe2S at its relaxed geometry.

Structure (POSCAR):
```
Pr4GeSe2S
1.0
-4.2546 4.2610 6.0206
4.2546 -4.2610 6.0206
4.2546 4.2610 -6.0206
Pr Ge Se S
8 2 4 2
direct
0.2539 0.2450 0.0090
0.2535 0.2463 0.4927
0.2535 0.7608 0.0073
0.2640 0.7550 0.5090
0.7360 0.2450 0.4910
0.7465 0.2392 0.9927
0.7465 0.7537 0.5073
0.7461 0.7550 0.9910
0.0000 0.0000 0.0000
0.5000 0.0000 0.5000
0.0000 0.0000 0.5000
0.0000 0.5000 0.0000
0.0000 0.5000 0.5000
0.5000 0.5000 0.0000
0.5000 0.0000 0.0000
0.5000 0.5000 0.5000
```

- SG = Imma
- total DFT energy (no corrections) (eV for the cell shown) = -96.762
- raw formation energy (eV/atom) = -1.69

=====

# 15
The following is a DFT calculation (PBE) of crystalline Pr4GeSeS2 at its relaxed geometry.

Structure (POSCAR):
```
Pr4GeSeS2
1.0
7.2599 0.0000 0.0000
0.0000 4.2195 0.0000
-2.4571 0.0000 6.9172
Pr Ge Se S
4 1 1 2
direct
0.2418 0.0000 0.2392
0.2463 0.5000 0.7537
0.7537 0.5000 0.2463
0.7582 0.0000 0.7608
0.5000 0.0000 0.0000
0.5000 0.5000 0.5000
0.0000 0.0000 0.5000
0.0000 0.5000 0.0000
```

- SG = P2/m
- total DFT energy (no corrections) (eV for the cell shown) = -49.254
- raw formation energy (eV/atom) = -1.72

=====

# 16
The following is a DFT calculation (PBE) of crystalline Pr6GeSe3S2 at its relaxed geometry.

Structure (POSCAR):
```
Pr6GeSe3S2
1.0
3.6415 -6.3063 0.0000
3.6415 6.3063 0.0000
-2.4243 0.0000 7.0148
Pr Ge Se S
6 1 3 2
direct
0.0871 0.4220 0.7652
0.2430 0.2430 0.2336
0.4220 0.0871 0.7652
0.5780 0.9129 0.2348
0.7570 0.7570 0.7664
0.9129 0.5780 0.2348
0.5000 0.5000 0.0000
0.0000 0.0000 0.5000
0.3348 0.6652 0.5000
0.6652 0.3348 0.5000
0.1669 0.8331 0.0000
0.8331 0.1669 0.0000
```

- SG = C2/m
- total DFT energy (no corrections) (eV for the cell shown) = -73.396
- raw formation energy (eV/atom) = -1.78

=====

# 17
The following is a DFT calculation (PBE) of crystalline Pr8Ge3Se4S at its relaxed geometry.

Structure (POSCAR):
```
Pr8Ge3Se4S
1.0
4.2825 2.4725 7.0315
-4.2825 2.4725 7.0315
0.0000 -4.9450 7.0315
Pr Ge Se S
8 3 4 1
direct
0.2448 0.7468 0.7468
0.2474 0.2474 0.2474
0.2532 0.2532 0.7552
0.2532 0.7552 0.2532
0.7468 0.2448 0.7468
0.7468 0.7468 0.2448
0.7526 0.7526 0.7526
0.7552 0.2532 0.2532
0.0000 0.0000 0.5000
0.0000 0.5000 0.0000
0.5000 0.0000 0.0000
0.0000 0.0000 0.0000
0.0000 0.5000 0.5000
0.5000 0.0000 0.5000
0.5000 0.5000 0.0000
0.5000 0.5000 0.5000
```

- SG = R-3m
- total DFT energy (no corrections) (eV for the cell shown) = -95.114
- raw formation energy (eV/atom) = -1.56

=====

# 18
The following is a DFT calculation (PBE) of crystalline Pr6Ge2SeS3 at its relaxed geometry.

Structure (POSCAR):
```
Pr6Ge2SeS3
1.0
9.1848 -2.1170 0.0000
9.1848 2.1170 0.0000
-1.8573 0.0000 8.2341
Pr Ge Se S
6 2 1 3
direct
0.0015 0.0015 0.2604
0.3306 0.3306 0.9127
0.3336 0.3336 0.4153
0.6664 0.6664 0.5847
0.6694 0.6694 0.0873
0.9985 0.9985 0.7396
0.1659 0.1659 0.3321
0.8341 0.8341 0.6679
0.5000 0.5000 0.0000
0.1655 0.1655 0.8354
0.5000 0.5000 0.5000
0.8345 0.8345 0.1646
```

- SG = C2/m
- total DFT energy (no corrections) (eV for the cell shown) = -73.383
- raw formation energy (eV/atom) = -1.63